Entry a
Crystalline NbAlAs3 at its relaxed geometry. Source: Alexandria, functional PBE.

The structure belongs to space group Pm-3m (No. 221); the cell edges are 4.743, 4.743 and 4.743 Å and the angles 90.00°, 90.00° and 90.00°. The inequivalent atoms are Nb at (0.000, 0.000, 0.000), Al at (0.500, 0.500, 0.500) and As at (0.000, 0.500, 0.500).

The value obtained for the spin magnetization is 0.00 μB per atom. Its density of states at the Fermi level is 6.8 states/eV/cell.

---

Entry b
Crystalline NbAlAs3 at its relaxed geometry. Source: Alexandria, functional PBE.

The structure belongs to space group Pm-3m (No. 221); the cell edges are 5.021, 5.021 and 5.021 Å and the angles 90.00°, 90.00° and 90.00°. The inequivalent atoms are Nb at (0.000, 0.000, 0.000), Al at (0.500, 0.500, 0.500) and As at (0.000, 0.000, 0.500).

The value obtained for the spin magnetization is 0.00 μB per atom. Its density of states at the Fermi level is 4.1 states/eV/cell.

---

It is entry b that is the most stable of them.

---

Entry a
Crystalline Nb2AlAs2 at its relaxed geometry. Source: Alexandria, functional PBE.

The structure belongs to space group P4/mbm (No. 127); the cell edges are 7.228, 7.228 and 3.416 Å and the angles 90.00°, 90.00° and 90.00°. The inequivalent atoms are Nb at (0.146, 0.354, 0.000), Al at (0.000, 0.000, 0.000) and As at (0.148, 0.648, 0.500).

The value obtained for the spin magnetization is 0.00 μB per atom. Its density of states at the Fermi level is 8.9 states/eV/cell.

---

Entry b
Crystalline Nb2AlAs2 at its relaxed geometry. Source: Alexandria, functional PBE.

The structure belongs to space group P4/mbm (No. 127); the cell edges are 7.213, 7.213 and 3.321 Å and the angles 90.00°, 90.00° and 90.00°. The inequivalent atoms are Nb at (0.156, 0.344, 0.000), Al at (0.000, 0.000, 0.500) and As at (0.142, 0.642, 0.500).

The value obtained for the spin magnetization is 0.00 μB per atom. Its density of states at the Fermi level is 4.7 states/eV/cell.

---

It is entry a that is the most stable of them.

---

Entry a
Crystalline AlNi6As at its relaxed geometry. Source: Alexandria, functional PBE.

The structure belongs to space group P4/mmm (No. 123); the cell edges are 5.054, 5.054 and 3.573 Å and the angles 90.00°, 90.00° and 90.00°. The inequivalent atoms are Al at (0.000, 0.000, 0.000), Ni at (0.000, 0.500, 0.000), Ni at (0.249, 0.249, 0.500) and As at (0.500, 0.500, 0.000).

The value obtained for the spin magnetization is 0.00 μB per atom. Its density of states at the Fermi level is 7.0 states/eV/cell.

---

Entry b
Crystalline AlNi6As at its relaxed geometry. Source: Alexandria, functional PBE.

The structure belongs to space group C2/m (No. 12); the cell edges are 6.985, 4.883 and 6.490 Å and the angles 90.00°, 110.66° and 90.00°. The inequivalent atoms are Al at (0.000, 0.000, 0.000), Ni at (0.148, 0.000, 0.437), Ni at (0.190, 0.239, 0.801) and As at (0.000, 0.500, 0.500).

The value obtained for the spin magnetization is 0.00 μB per atom. Its density of states at the Fermi level is 15.4 states/eV/cell.

---

It is entry a that is the most stable of them.

---

Entry a
Crystalline AlAsO2 at its relaxed geometry. Source: Alexandria, functional PBE.

The structure belongs to space group R-3m (No. 166, hexagonal axes); the cell edges are 2.8786, 2.8786 and 18.6705 Å and the angles 90.00°, 90.00° and 120.00°. The inequivalent atoms are Al at (0.0000, 0.0000, 0.0000), As at (0.0000, 0.0000, 0.5000) and O at (0.0000, 0.0000, 0.3853).

The value obtained for the spin magnetization is 0.00 μB per atom. Its density of states at the Fermi level is 1.2 states/eV/cell.

---

Entry b
Crystalline AlAsO2 at its relaxed geometry. Source: Alexandria, functional PBE.

The structure belongs to space group R-3m (No. 166, hexagonal axes); the cell edges are 3.1421, 3.1421 and 18.5374 Å and the angles 90.00°, 90.00° and 120.00°. The inequivalent atoms are Al at (0.0000, 0.0000, 0.0000), As at (0.0000, 0.0000, 0.5000) and O at (0.0000, 0.0000, 0.1019).

The value obtained for the spin magnetization is 0.00 μB per atom. Its density of states at the Fermi level is 1.0 states/eV/cell.

---

Entry c
Crystalline AlAsO2 at its relaxed geometry. Source: Alexandria, functional PBE.

The structure belongs to space group Fm-3m (No. 225); the cell edges are 5.662, 5.662 and 5.662 Å and the angles 90.00°, 90.00° and 90.00°. The inequivalent atoms are Al at (0.000, 0.000, 0.000), As at (0.000, 0.000, 0.500) and O at (0.250, 0.250, 0.250).

The value obtained for the spin magnetization is 0.00 μB per atom. Its density of states at the Fermi level is 7.2 states/eV/cell.

---

Entry d
Crystalline AlAsO2 at its relaxed geometry. Source: Alexandria, functional PBE.

The structure belongs to space group I-42d (No. 122); the cell edges are 5.040, 5.040 and 8.525 Å and the angles 90.00°, 90.00° and 90.00°. The inequivalent atoms are Al at (0.000, 0.000, 0.000), As at (0.000, 0.000, 0.500) and O at (0.126, 0.250, 0.125).

The value obtained for the spin magnetization is 0.00 μB per atom. Its density of states at the Fermi level is 2.5 states/eV/cell.

---

It is entry a that is the most stable of them.

---

Entry a
Crystalline Al2As2O at its relaxed geometry. Source: Alexandria, functional PBE.

The structure belongs to space group P4/mbm (No. 127); the cell edges are 5.412, 5.412 and 5.266 Å and the angles 90.00°, 90.00° and 90.00°. The inequivalent atoms are Al at (0.180, 0.320, 0.000), As at (0.235, 0.265, 0.500) and O at (0.000, 0.000, 0.000).

The value obtained for the spin magnetization is 0.00 μB per atom. Its density of states at the Fermi level is 1.0 states/eV/cell.

---

Entry b
Crystalline Al2As2O at its relaxed geometry. Source: Alexandria, functional PBE.

The structure belongs to space group I4/mmm (No. 139); the cell edges are 3.670, 3.670 and 13.080 Å and the angles 90.00°, 90.00° and 90.00°. The inequivalent atoms are Al at (0.000, 0.000, 0.092), As at (0.000, 0.500, 0.250) and O at (0.000, 0.000, 0.500).

The value obtained for the spin magnetization is 0.00 μB per atom. Its density of states at the Fermi level is 3.7 states/eV/cell.

---

It is entry a that is the most stable of them.

---

Entry a
Crystalline AlAs3O at its relaxed geometry. Source: Alexandria, functional PBE.

The structure belongs to space group Pm-3m (No. 221); the cell edges are 4.390, 4.390 and 4.390 Å and the angles 90.00°, 90.00° and 90.00°. The inequivalent atoms are Al at (0.000, 0.000, 0.000), As at (0.000, 0.500, 0.500) and O at (0.500, 0.500, 0.500).

The value obtained for the spin magnetization is 0.00 μB per atom. Its density of states at the Fermi level is 2.3 states/eV/cell.

---

Entry b
Crystalline AlAs3O at its relaxed geometry. Source: Alexandria, functional PBE.

The structure belongs to space group Pm-3m (No. 221); the cell edges are 4.758, 4.758 and 4.758 Å and the angles 90.00°, 90.00° and 90.00°. The inequivalent atoms are Al at (0.000, 0.000, 0.000), As at (0.000, 0.000, 0.500) and O at (0.500, 0.500, 0.500).

The value obtained for the spin magnetization is 0.00 μB per atom. Its density of states at the Fermi level is 13.2 states/eV/cell.

---

It is entry a that is the most stable of them.

---

Entry a
Crystalline Al3AsO at its relaxed geometry. Source: Alexandria, functional PBE.

The structure belongs to space group Pm-3m (No. 221); the cell edges are 4.911, 4.911 and 4.911 Å and the angles 90.00°, 90.00° and 90.00°. The inequivalent atoms are Al at (0.000, 0.000, 0.500), As at (0.000, 0.000, 0.000) and O at (0.500, 0.500, 0.500).

The value obtained for the spin magnetization is 0.00 μB per atom. Its density of states at the Fermi level is 1.5 states/eV/cell.

---

Entry b
Crystalline Al3AsO at its relaxed geometry. Source: Alexandria, functional PBE.

The structure belongs to space group Pm-3m (No. 221); the cell edges are 4.303, 4.303 and 4.303 Å and the angles 90.00°, 90.00° and 90.00°. The inequivalent atoms are Al at (0.000, 0.000, 0.500), As at (0.500, 0.500, 0.500) and O at (0.000, 0.000, 0.000).

The value obtained for the spin magnetization is 0.00 μB per atom. Its density of states at the Fermi level is 2.3 states/eV/cell.

---

It is entry b that is the most stable of them.

---

Entry a
Crystalline AlAsP2O at its relaxed geometry. Source: Alexandria, functional PBE.

The structure belongs to space group P4/mmm (No. 123); the cell edges are 4.803, 4.803 and 3.641 Å and the angles 90.00°, 90.00° and 90.00°. The inequivalent atoms are Al at (0.000, 0.000, 0.000), As at (0.500, 0.500, 0.500), P at (0.000, 0.500, 0.500) and O at (0.500, 0.500, 0.000).

The value obtained for the spin magnetization is 0.00 μB per atom. Its density of states at the Fermi level is 3.8 states/eV/cell.

---

Entry b
Crystalline AlAsP2O at its relaxed geometry. Source: Alexandria, functional PBE.

The structure belongs to space group P4/mmm (No. 123); the cell edges are 4.882, 4.882 and 3.420 Å and the angles 90.00°, 90.00° and 90.00°. The inequivalent atoms are Al at (0.000, 0.000, 0.000), As at (0.500, 0.500, 0.500), P at (0.000, 0.500, 0.000) and O at (0.000, 0.000, 0.500).

The value obtained for the spin magnetization is 0.00 μB per atom. Its density of states at the Fermi level is 5.0 states/eV/cell.

---

It is entry b that is the most stable of them.

---

Entry a
Crystalline AlAs2SeO at its relaxed geometry. Source: Alexandria, functional PBE.

The structure belongs to space group P4/mmm (No. 123); the cell edges are 4.259, 4.259 and 4.869 Å and the angles 90.00°, 90.00° and 90.00°. The inequivalent atoms are Al at (0.000, 0.000, 0.000), As at (0.000, 0.500, 0.500), Se at (0.500, 0.500, 0.000) and O at (0.500, 0.500, 0.500).

The value obtained for the spin magnetization is 0.00 μB per atom. Its density of states at the Fermi level is 2.4 states/eV/cell.

---

Entry b
Crystalline AlAs2SeO at its relaxed geometry. Source: Alexandria, functional PBE.

The structure belongs to space group P4/mmm (No. 123); the cell edges are 4.826, 4.826 and 4.666 Å and the angles 90.00°, 90.00° and 90.00°. The inequivalent atoms are Al at (0.000, 0.000, 0.000), As at (0.000, 0.500, 0.000), Se at (0.000, 0.000, 0.500) and O at (0.500, 0.500, 0.500).

The value obtained for the spin magnetization is 0.00 μB per atom. Its density of states at the Fermi level is 8.1 states/eV/cell.

---

It is entry a that is the most stable of them.

---

Entry a
Crystalline Al3AsOs at its relaxed geometry. Source: Alexandria, functional PBE.

The structure belongs to space group Pm-3m (No. 221); the cell edges are 4.638, 4.638 and 4.638 Å and the angles 90.00°, 90.00° and 90.00°. The inequivalent atoms are Al at (0.000, 0.000, 0.500), As at (0.000, 0.000, 0.000) and Os at (0.500, 0.500, 0.500).

The value obtained for the spin magnetization is 0.22 μB per atom. Its density of states at the Fermi level is 4.2 states/eV/cell.

---

Entry b
Crystalline Al3AsOs at its relaxed geometry. Source: Alexandria, functional PBE.

The structure belongs to space group Pm-3m (No. 221); the cell edges are 4.736, 4.736 and 4.736 Å and the angles 90.00°, 90.00° and 90.00°. The inequivalent atoms are Al at (0.000, 0.000, 0.500), As at (0.500, 0.500, 0.500) and Os at (0.000, 0.000, 0.000).

The value obtained for the spin magnetization is 0.00 μB per atom. Its density of states at the Fermi level is 4.0 states/eV/cell.

---

It is entry b that is the most stable of them.

---

Entry a
Crystalline AlAs3Os at its relaxed geometry. Source: Alexandria, functional PBE.

The structure belongs to space group Pm-3m (No. 221); the cell edges are 4.678, 4.678 and 4.678 Å and the angles 90.00°, 90.00° and 90.00°. The inequivalent atoms are Al at (0.000, 0.000, 0.000), As at (0.000, 0.000, 0.500) and Os at (0.500, 0.500, 0.500).

The value obtained for the spin magnetization is 0.29 μB per atom. Its density of states at the Fermi level is 5.3 states/eV/cell.

---

Entry b
Crystalline AlAs3Os at its relaxed geometry. Source: Alexandria, functional PBE.

The structure belongs to space group Pm-3m (No. 221); the cell edges are 4.837, 4.837 and 4.837 Å and the angles 90.00°, 90.00° and 90.00°. The inequivalent atoms are Al at (0.000, 0.000, 0.000), As at (0.000, 0.500, 0.500) and Os at (0.500, 0.500, 0.500).

The value obtained for the spin magnetization is 0.00 μB per atom. Its density of states at the Fermi level is 4.9 states/eV/cell.

---

It is entry b that is the most stable of them.

---

Entry a
Crystalline AlAsOsSe2 at its relaxed geometry. Source: Alexandria, functional PBE.

The structure belongs to space group P4/mmm (No. 123); the cell edges are 5.083, 5.083 and 4.638 Å and the angles 90.00°, 90.00° and 90.00°. The inequivalent atoms are Al at (0.000, 0.000, 0.000), As at (0.500, 0.500, 0.000), Os at (0.500, 0.500, 0.500) and Se at (0.000, 0.500, 0.500).

The value obtained for the spin magnetization is 0.00 μB per atom. Its density of states at the Fermi level is 5.9 states/eV/cell.

---

Entry b
Crystalline AlAsOsSe2 at its relaxed geometry. Source: Alexandria, functional PBE.

The structure belongs to space group P4/mmm (No. 123); the cell edges are 4.698, 4.698 and 4.652 Å and the angles 90.00°, 90.00° and 90.00°. The inequivalent atoms are Al at (0.000, 0.000, 0.000), As at (0.000, 0.000, 0.500), Os at (0.500, 0.500, 0.500) and Se at (0.000, 0.500, 0.000).

The value obtained for the spin magnetization is 0.00 μB per atom. Its density of states at the Fermi level is 3.5 states/eV/cell.

---

It is entry a that is the most stable of them.

---

Entry a
Crystalline AlAsPSe2 at its relaxed geometry. Source: Alexandria, functional PBE.

The structure belongs to space group P4/mmm (No. 123); the cell edges are 4.783, 4.783 and 4.893 Å and the angles 90.00°, 90.00° and 90.00°. The inequivalent atoms are Al at (0.000, 0.000, 0.000), As at (0.000, 0.000, 0.500), P at (0.500, 0.500, 0.500) and Se at (0.000, 0.500, 0.000).

The value obtained for the spin magnetization is 0.00 μB per atom. Its density of states at the Fermi level is 4.4 states/eV/cell.

---

Entry b
Crystalline AlAsPSe2 at its relaxed geometry. Source: Alexandria, functional PBE.

The structure belongs to space group P4/mmm (No. 123); the cell edges are 4.908, 4.908 and 4.723 Å and the angles 90.00°, 90.00° and 90.00°. The inequivalent atoms are Al at (0.000, 0.000, 0.000), As at (0.500, 0.500, 0.000), P at (0.500, 0.500, 0.500) and Se at (0.000, 0.500, 0.500).

The value obtained for the spin magnetization is 0.00 μB per atom. Its density of states at the Fermi level is 3.9 states/eV/cell.

---

It is entry b that is the most stable of them.